(1)
Ti3BeGe2 | PBE | optimized geometry

Cell and atoms, written as POSCAR:
```
Ti3BeGe2
1.0
-3.218 -1.611 -0.287
-0.100 -1.507 9.597
-4.649 9.040 1.371
Ti Be Ge
12 4 8
Direct
0.250 0.382 0.045
0.750 0.618 0.955
0.750 0.882 0.455
0.250 0.118 0.545
0.250 0.711 0.216
0.750 0.289 0.784
0.750 0.211 0.284
0.250 0.789 0.716
0.250 0.435 0.378
0.750 0.565 0.622
0.750 0.935 0.122
0.250 0.065 0.878
0.250 0.127 0.128
0.750 0.873 0.872
0.750 0.627 0.372
0.250 0.373 0.628
0.250 0.689 0.479
0.750 0.311 0.521
0.750 0.189 0.021
0.250 0.811 0.979
0.250 0.998 0.307
0.750 0.002 0.693
0.750 0.498 0.193
0.250 0.502 0.807
```

formation enthalpy at 0 K = -0.555 eV/atom
density of states at the Fermi level = 0.773 states/eV per atom
magnetization = 0.0 μB/cell

---

(2)
BaZn2Te | PBE | optimized geometry

Cell and atoms, written as POSCAR:
```
BaZn2Te
1.0
-2.524 -2.428 -2.001
-1.851 -0.928 3.462
-4.458 5.404 -0.935
Ba Te Zn
1 1 2
Direct
0.500 0.500 0.250
0.500 0.500 0.750
0.000 0.000 0.946
0.000 0.000 0.554
```

density of states at the Fermi level = 0.318 states/eV per atom
magnetization = 0.0 μB/cell
formation energy (no corrections) = -0.30 eV/atom

---

(3)
Na5Ag3Bi3 | PBE | optimized geometry

Cell and atoms, written as POSCAR:
```
Na5Ag3Bi3
1.0
3.752 0.000 0.000
0.000 10.118 0.000
0.000 -5.059 8.762
Na Ag Bi
5 3 3
Direct
0.500 0.333 0.667
0.500 0.667 0.333
0.500 0.290 0.290
0.500 0.000 0.710
0.500 0.710 0.000
0.000 0.840 0.840
0.000 0.160 0.000
0.000 0.000 0.160
0.500 0.621 0.621
0.500 0.000 0.379
0.500 0.379 0.000
```

formation enthalpy at 0 K = -0.094 eV/atom
density of states at the Fermi level = 0.537 states/eV per atom
magnetization = 0.0 μB/cell

---

(4)
NaLa4In5 | PBE | optimized geometry

Cell and atoms, written as POSCAR:
```
NaLa4In5
1.0
-0.333 3.004 2.241
-0.837 -2.252 2.895
20.434 -1.353 4.853
Na La In
1 4 5
Direct
0.000 0.000 0.000
0.000 0.000 0.187
0.000 0.000 0.396
0.000 0.000 0.604
0.000 0.000 0.813
0.500 0.500 0.086
0.500 0.500 0.292
0.500 0.500 0.500
0.500 0.500 0.708
0.500 0.500 0.914
```

formation enthalpy at 0 K = -0.429 eV/atom
density of states at the Fermi level = 0.638 states/eV per atom
magnetization = 0.0 μB/cell

---

(5)
Sr4NiAs | PBE | optimized geometry

Cell and atoms, written as POSCAR:
```
Sr4NiAs
1.0
5.594 -0.223 3.716
3.475 5.628 1.181
0.052 2.686 6.159
Sr Ni As
4 1 1
Direct
0.874 0.375 0.375
0.375 0.375 0.874
0.375 0.874 0.375
0.375 0.375 0.375
0.000 0.000 0.000
0.750 0.750 0.750
```

formation enthalpy at 0 K = 0.700 eV/atom
density of states at the Fermi level = 0.978 states/eV per atom
magnetization = 0.2 μB/cell

---

(6)
YHgPb2 | PBE | optimized geometry

Cell and atoms, written as POSCAR:
```
YHgPb2
1.0
-1.988 4.507 3.824
-4.585 1.737 3.853
1.191 -1.063 5.124
Pb Y Hg
2 1 1
Direct
0.989 0.989 0.052
0.755 0.755 0.702
0.512 0.512 0.540
0.244 0.244 0.205
```

formation enthalpy at 0 K = -0.267 eV/atom
density of states at the Fermi level = 0.604 states/eV per atom
magnetization = 0.0 μB/cell

---

(7)
BaLa2Au | PBE | optimized geometry

Cell and atoms, written as POSCAR:
```
BaLa2Au
1.0
-5.414 -3.734 -2.902
-2.773 -6.341 -1.942
-3.805 -2.389 3.977
Au Ba La
1 1 2
Direct
0.250 0.250 0.250
0.750 0.750 0.750
0.952 0.952 0.048
0.548 0.548 0.452
```

formation enthalpy at 0 K = -0.294 eV/atom
density of states at the Fermi level = 1.624 states/eV per atom
magnetization = 0.0 μB/cell

---

(8)
BaSr2HgC | PBE | optimized geometry

Cell and atoms, written as POSCAR:
```
BaSr2HgC
1.0
-2.782 -0.222 -6.305
-0.959 -5.780 0.627
-6.209 1.322 2.693
Sr C Hg Ba
2 1 1 1
Direct
0.000 0.000 0.500
0.500 0.000 0.000
0.500 0.500 0.500
0.000 0.500 0.000
0.000 0.000 0.000
```

formation enthalpy at 0 K = 2.010 eV/atom
density of states at the Fermi level = 2.018 states/eV per atom
magnetization = 0.0 μB/cell

---

(9)
Cd2SnPd4 | PBE | optimized geometry

Cell and atoms, written as POSCAR:
```
Cd2SnPd4
1.0
5.283 0.175 -1.752
-2.583 4.482 -2.060
0.101 -0.175 5.565
Cd Sn Pd
2 1 4
Direct
0.500 0.500 0.000
0.500 0.000 0.500
0.000 0.000 0.000
0.500 0.000 0.000
0.500 0.500 0.500
0.000 0.000 0.500
0.000 0.500 0.000
```

formation enthalpy at 0 K = -0.283 eV/atom
density of states at the Fermi level = 0.454 states/eV per atom
magnetization = 0.0 μB/cell

---

(10)
ZnW3 | PBE | optimized geometry

Cell and atoms, written as POSCAR:
```
ZnW3
1.0
-4.336 0.037 2.598
3.755 -2.435 2.350
0.742 2.308 1.206
W Zn
3 1
Direct
0.000 0.000 0.000
0.000 0.500 0.500
0.500 0.000 0.500
0.500 0.500 0.000
```

formation enthalpy at 0 K = 0.352 eV/atom
density of states at the Fermi level = 0.519 states/eV per atom
magnetization = 0.0 μB/cell

---

(11)
AlAs | PBE | optimized geometry

Cell and atoms, written as POSCAR:
```
AlAs
1.0
-0.810 2.791 -0.991
-1.966 -2.346 -0.243
-3.403 1.986 8.378
As Al
2 2
Direct
0.000 0.000 0.461
0.667 0.333 0.789
0.000 0.000 0.010
0.667 0.333 0.240
```

formation enthalpy at 0 K = 0.185 eV/atom
density of states at the Fermi level = 0.550 states/eV per atom
magnetization = 0.0 μB/cell

---

(12)
LiEuTlNi | PBE | optimized geometry

Cell and atoms, written as POSCAR:
```
LiEuTlNi
1.0
4.863 0.000 0.000
2.431 4.211 0.000
2.431 1.404 3.971
Eu Ni Tl Li
1 1 1 1
Direct
0.500 0.500 0.500
0.250 0.250 0.250
0.000 0.000 0.000
0.750 0.750 0.750
```

formation enthalpy at 0 K = -0.092 eV/atom
density of states at the Fermi level = 2.055 states/eV per atom
magnetization = 7.3 μB/cell